# 1
The following is a PBEsol calculation of a relaxed structure of K2FeAs, from Alexandria.

Output
The crystal system is tetragonal. The density of states at the Fermi level comes out at 0.67 states/eV/atom. The density comes out at 3.14 g/cm³. As for the space group: P4mm. The total energy comes out at -3.8783 eV per atom. Its formation energy is 0.21 eV per atom.

a b c (Å): 3.3391 3.3391 9.8976
angles (deg): 90.00 90.00 90.00
Site moments in Bohr magnetons follow the coordinates.
Element x y z (fractional)
K (0.0000, 0.0000, 0.9166)  -0.02
K (0.5000, 0.5000, 0.3387)  0.00
Fe (0.5000, 0.5000, 0.6543)  1.97
As (0.0000, 0.0000, 0.5904)  -0.04

# 2
The following is a PBEsol calculation of a relaxed structure of InFeSi2, from Alexandria.

Output
The crystal system is tetragonal. The density of states at the Fermi level comes out at 0.46 states/eV/atom. The density comes out at 6.28 g/cm³. As for the space group: P4/mmm. The total energy comes out at -5.8929 eV per atom.

a b c (Å): 2.8020 2.8020 7.6338
angles (deg): 90.00 90.00 90.00
Element x y z (fractional)
In (0.5000, 0.5000, 0.5000)
Si (0.0000, 0.0000, 0.1779)
Si (0.0000, 0.0000, 0.8221)
Fe (0.5000, 0.5000, 0.0000)

# 3
The following is a PBEsol calculation of a relaxed structure of Mn3AsP, from Alexandria.

Output
The crystal system is cubic. The density of states at the Fermi level comes out at 1.00 states/eV/atom. The density comes out at 5.23 g/cm³. As for the space group: Pm-3m. The total energy comes out at -7.1104 eV per atom. Its formation energy is 0.93 eV per atom.

a b c (Å): 4.4134 4.4134 4.4134
angles (deg): 90.00 90.00 90.00
Site moments in Bohr magnetons follow the coordinates.
Element x y z (fractional)
Mn (0.0000, 0.0000, 0.5000)  3.02
Mn (0.5000, 0.0000, 0.0000)  3.02
Mn (0.0000, 0.5000, 0.0000)  3.02
P (0.5000, 0.5000, 0.5000)  -0.09
As (0.0000, 0.0000, 0.0000)  -0.16

# 4
The following is a PBEsol calculation of a relaxed structure of LuIn3, from Alexandria.

Output
The crystal system is cubic. The density of states at the Fermi level comes out at 0.50 states/eV/atom. The density comes out at 9.37 g/cm³. As for the space group: Pm-3m. The total energy comes out at -3.8457 eV per atom. Its formation energy is -0.39 eV per atom.

a b c (Å): 4.5154 4.5154 4.5154
angles (deg): 90.00 90.00 90.00
Element x y z (fractional)
In (0.0000, 0.5000, 0.5000)
In (0.5000, 0.5000, 0.0000)
In (0.5000, 0.0000, 0.5000)
Lu (0.0000, 0.0000, 0.0000)

# 5
The following is a PBEsol calculation of a relaxed structure of Ba3Y2O6, from Alexandria.

Output
The crystal system is orthorhombic. The density of states at the Fermi level comes out at 0.00 states/eV/atom. The density comes out at 5.85 g/cm³. As for the space group: Pbam. The total energy comes out at -7.6270 eV per atom. The distance to the lowest polymorph of the same formula is 0.056 eV/atom.

a b c (Å): 3.5355 12.3306 17.8709
angles (deg): 90.00 90.00 90.00
Element x y z (fractional)
Ba (0.5000, 0.8921, 0.1535)
Ba (0.5000, 0.3674, 0.9475)
Ba (0.5000, 0.6468, 0.2666)
Ba (0.5000, 0.8674, 0.5525)
Ba (0.5000, 0.6079, 0.6535)
Ba (0.5000, 0.1468, 0.2334)
Ba (0.5000, 0.8532, 0.7666)
Ba (0.5000, 0.1079, 0.8465)
Ba (0.5000, 0.3532, 0.7334)
Ba (0.5000, 0.3921, 0.3465)
Ba (0.5000, 0.6326, 0.0525)
Ba (0.5000, 0.1326, 0.4475)
O (0.5000, 0.9837, 0.3393)
O (0.0000, 0.8021, 0.2572)
O (0.0000, 0.5000, 0.0000)
O (0.0000, 0.1979, 0.7428)
O (0.0000, 0.3021, 0.2428)
O (0.5000, 0.0163, 0.6607)
O (0.0000, 0.0533, 0.1516)
O (0.0000, 0.2102, 0.9335)
O (0.5000, 0.5000, 0.5000)
O (0.5000, 0.7488, 0.9159)
O (0.0000, 0.4467, 0.6516)
O (0.5000, 0.2512, 0.0841)
O (0.0000, 0.0000, 0.5000)
O (0.0000, 0.7102, 0.5665)
O (0.5000, 0.7512, 0.4159)
O (0.0000, 0.9467, 0.8484)
O (0.5000, 0.4837, 0.1607)
O (0.5000, 0.0000, 0.0000)
O (0.5000, 0.5163, 0.8393)
O (0.0000, 0.5533, 0.3484)
O (0.5000, 0.2488, 0.5841)
O (0.0000, 0.6979, 0.7572)
O (0.0000, 0.7898, 0.0665)
O (0.0000, 0.2898, 0.4335)
Y (0.0000, 0.1179, 0.6392)
Y (0.0000, 0.3723, 0.5413)
Y (0.0000, 0.3821, 0.1392)
Y (0.0000, 0.6277, 0.4587)
Y (0.0000, 0.6179, 0.8608)
Y (0.0000, 0.8723, 0.9587)
Y (0.0000, 0.1277, 0.0413)
Y (0.0000, 0.8821, 0.3608)

# 6
The following is a PBEsol calculation of a relaxed structure of NiMoPd, from Alexandria.

Output
The crystal system is orthorhombic. The density of states at the Fermi level comes out at 0.70 states/eV/atom. The density comes out at 10.90 g/cm³. As for the space group: Imm2. The total energy comes out at -8.0497 eV per atom. Its formation energy is -0.09 eV per atom.

a b c (Å): 2.6710 3.7339 4.6001
angles (deg): 113.94 106.88 90.00
Element x y z (fractional)
Pd (0.3739, 0.3739, 0.7479)
Ni (0.0418, 0.0418, 0.0836)
Mo (0.6986, 0.6986, 0.3971)

# 7
The following is a PBEsol calculation of a relaxed structure of Na2CaMn3Si6O18, from Alexandria.

Output
The crystal system is triclinic. The density of states at the Fermi level comes out at 0.13 states/eV/atom. The density comes out at 3.40 g/cm³. As for the space group: P1. The total energy comes out at -7.8558 eV per atom.

a b c (Å): 6.5574 7.2044 7.4337
angles (deg): 80.14 86.84 88.06
Site moments in Bohr magnetons follow the coordinates.
Element x y z (fractional)
O (0.6620, 0.4068, 0.4430)  0.03
O (0.6817, 0.9310, 0.4557)  0.03
O (0.8054, 0.3922, 0.1012)  0.00
O (0.0781, 0.3927, 0.3509)  0.04
O (0.3639, 0.1043, 0.5785)  0.03
O (0.5543, 0.7312, 0.8179)  0.05
O (0.4373, 0.2544, 0.1726)  0.03
O (0.1748, 0.6131, 0.8914)  0.01
O (0.3348, 0.5786, 0.5579)  0.00
O (0.8464, 0.6998, 0.2347)  0.00
O (0.9136, 0.6049, 0.6389)  0.05
O (0.3909, 0.6836, 0.1668)  0.06
O (0.2458, 0.9598, 0.9154)  0.01
O (0.9417, 0.0339, 0.6874)  0.04
O (0.0618, 0.9939, 0.2987)  0.00
O (0.6211, 0.2787, 0.8197)  0.06
O (0.1389, 0.3039, 0.7853)  0.01
O (0.7371, 0.0262, 0.0960)  0.01
Na (0.8624, 0.7772, 0.9151)  0.00
Na (0.1240, 0.2414, 0.0868)  0.00
Si (0.3517, 0.7444, 0.9528)  0.01
Si (0.8457, 0.9130, 0.2861)  0.00
Si (0.6434, 0.2429, 0.0421)  0.01
Si (0.8557, 0.4716, 0.2926)  0.01
Si (0.1343, 0.5277, 0.7044)  0.01
Si (0.1680, 0.0971, 0.7257)  0.01
Mn (0.6286, 0.5581, 0.6534)  3.92
Mn (0.3659, 0.4270, 0.3457)  3.94
Mn (0.6634, 0.0990, 0.6337)  3.87
Ca (0.3673, 0.9115, 0.3495)  0.00

# 8
The following is a PBEsol calculation of a relaxed structure of ZrMo2Ir, from Alexandria.

Output
The crystal system is tetragonal. The density of states at the Fermi level comes out at 0.80 states/eV/atom. The density comes out at 12.11 g/cm³. As for the space group: P4mm. The total energy comes out at -10.8015 eV per atom. The distance to the lowest polymorph of the same formula is 0.000 eV/atom. Its formation energy is -0.19 eV per atom.

a b c (Å): 3.2081 3.2081 6.3334
angles (deg): 90.00 90.00 90.00
Element x y z (fractional)
Zr (0.0000, 0.0000, 0.5039)
Mo (0.5000, 0.5000, 0.2323)
Mo (0.0000, 0.0000, 0.0109)
Ir (0.5000, 0.5000, 0.7530)